First-principles (PBE) data for crystalline BaTc at its relaxed geometry, as listed in the Alexandria database.

Computed properties:
Energy of formation ... 0.74 eV/atom
Distance to the lowest polymorph of the same formula ... 0.416 eV per atom
Magnetic moment ... 0.00 Bohr magnetons per cell

Geometry as CIF:
```
data_BaTc
_chemical_formula_sum 'Ba4 Tc4'
_space_group_name_H-M_alt 'C m c m'
_space_group_IT_number 63
_space_group_name_Hall '-C 2c 2'
_cell_length_a 3.641
_cell_length_b 17.631
_cell_length_c 4.447
_cell_angle_alpha 90.00
_cell_angle_beta 90.00
_cell_angle_gamma 90.00
loop_
_atom_site_label
_atom_site_fract_x
_atom_site_fract_y
_atom_site_fract_z
_atom_site_occupancy
Ba1 0.000 0.135 0.250 1
Tc1 0.000 0.482 0.250 1
```

---

First-principles (PBE) data for crystalline Ba3Tc at its relaxed geometry, as listed in the Alexandria database.

Computed properties:
Energy of formation ... 0.79 eV/atom
Distance to the lowest polymorph of the same formula ... 0.445 eV per atom
Magnetic moment ... 2.15 Bohr magnetons per cell

Geometry as CIF:
```
data_Ba3Tc
_chemical_formula_sum 'Ba3 Tc1'
_space_group_name_H-M_alt 'P -6 m 2'
_space_group_IT_number 187
_space_group_name_Hall 'P -6 2'
_cell_length_a 4.2511
_cell_length_b 4.2511
_cell_length_c 11.9642
_cell_angle_alpha 90.00
_cell_angle_beta 90.00
_cell_angle_gamma 120.00
loop_
_atom_site_label
_atom_site_fract_x
_atom_site_fract_y
_atom_site_fract_z
_atom_site_occupancy
Ba1 0.0000 0.0000 0.0000 1
Ba2 0.3333 0.6667 0.3243 1
Tc1 0.0000 0.0000 0.5000 1
```

---

First-principles (PBE) data for crystalline Ba2Tc at its relaxed geometry, as listed in the Alexandria database.

Computed properties:
Energy of formation ... 0.91 eV/atom
Distance to the lowest polymorph of the same formula ... 0.573 eV per atom
Magnetic moment ... 6.25 Bohr magnetons per cell

Geometry as CIF:
```
data_Ba2Tc
_chemical_formula_sum 'Ba8 Tc4'
_space_group_name_H-M_alt 'P a -3'
_space_group_IT_number 205
_space_group_name_Hall '-P 2ac 2ab 3'
_cell_length_a 7.827
_cell_length_b 7.827
_cell_length_c 7.827
_cell_angle_alpha 90.00
_cell_angle_beta 90.00
_cell_angle_gamma 90.00
loop_
_atom_site_label
_atom_site_fract_x
_atom_site_fract_y
_atom_site_fract_z
_atom_site_occupancy
Ba1 0.168 0.168 0.168 1
Tc1 0.000 0.000 0.500 1
```